Computed, not measured: crystalline BaCo3C4O12 at its relaxed geometry at the PBE with a Hubbard U level of DFT.

```
20
Lattice="-5.794 1.319 -2.038 3.100 -0.933 -5.384 -0.674 -5.862 2.155" Properties=species:S:1:pos:R:3 pbc="T T T"
O -0.496 -3.039 -3.081
O -5.339 -1.255 -2.266
Co 1.383 -3.175 -1.955
C -5.700 -1.721 -1.123
C -1.684 -2.738 -2.634
C 0.628 -5.981 -0.741
O 1.991 -3.669 -4.016
O -3.244 -4.775 0.481
O -0.626 -5.883 -0.469
O -1.017 -0.031 -5.448
O 1.238 -5.178 -1.538
O -2.368 -1.779 -3.194
Co -1.749 0.295 -3.560
O -3.800 0.229 -4.366
Ba 0.000 0.000 0.000
O -4.945 -2.470 -0.400
C 0.020 -0.513 -6.037
O 0.583 -1.613 -5.681
Co -3.003 -2.596 0.248
O -2.188 -3.397 -1.626
```

Properties
calculated density: 4.02 Mg/m³
uncorrected energy: -143.29 eV for the cell shown
space group: No. 155
calculated volume: 11.4 A^3/atom
density of states at the Fermi level: 0.00 states/eV per cell